1.
An optimized crystal structure of RbLi3Pb, computed with GGA-PBE.

Results
Magnetization (μB per atom): 0.0000
Total DFT energy (no corrections) (eV/atom): -1.43
ΔE_f (eV/atom): 0.650
ΔE to the lowest computed polymorph (eV per atom): 0.802

CIF file:
```
data_RbLi3Pb
_chemical_formula_sum 'Rb1 Li3 Pb1'
_space_group_name_H-M_alt 'P 1'
_space_group_IT_number 1
_cell_length_a 5.3871
_cell_length_b 5.3871
_cell_length_c 5.3871
_cell_angle_alpha 90.00
_cell_angle_beta 90.00
_cell_angle_gamma 90.00
loop_
_space_group_symop_operation_xyz
'x,y,z'
loop_
_atom_site_label
_atom_site_fract_x
_atom_site_fract_y
_atom_site_fract_z
_atom_site_occupancy
Li1 0.5000 0.0000 0.0000 1
Rb1 0.0000 0.0000 0.0000 1
Li2 0.0000 0.5000 0.0000 1
Pb1 0.5000 0.5000 0.5000 1
Li3 0.0000 0.0000 0.5000 1
```

=====

2.
An optimized crystal structure of RbLi6Pb12, computed with GGA-PBE.

Results
Magnetization (μB per atom): 0.0000
Total DFT energy (no corrections) (eV/atom): -3.11
ΔE_f (eV/atom): -0.114

CIF file:
```
data_RbLi6Pb12
_chemical_formula_sum 'Rb1 Li6 Pb12'
_space_group_name_H-M_alt 'P 1'
_space_group_IT_number 1
_cell_length_a 8.5033
_cell_length_b 8.5033
_cell_length_c 8.5033
_cell_angle_alpha 105.38
_cell_angle_beta 105.38
_cell_angle_gamma 105.38
loop_
_space_group_symop_operation_xyz
'x,y,z'
loop_
_atom_site_label
_atom_site_fract_x
_atom_site_fract_y
_atom_site_fract_z
_atom_site_occupancy
Li1 0.2622 0.2622 0.7100 1
Pb1 0.5754 0.8259 0.5754 1
Rb1 0.0000 0.0000 0.0000 1
Pb2 0.1205 0.8795 0.5000 1
Pb3 0.4246 0.1741 0.4246 1
Pb4 0.8795 0.5000 0.1205 1
Pb5 0.4246 0.4246 0.1741 1
Pb6 0.8259 0.5754 0.5754 1
Pb7 0.1741 0.4246 0.4246 1
Pb8 0.5754 0.5754 0.8259 1
Li2 0.2622 0.7100 0.2622 1
Pb9 0.5000 0.8795 0.1205 1
Pb10 0.5000 0.1205 0.8795 1
Li3 0.7100 0.2622 0.2622 1
Pb11 0.1205 0.5000 0.8795 1
Pb12 0.8795 0.1205 0.5000 1
Li4 0.2900 0.7378 0.7378 1
Li5 0.7378 0.2900 0.7378 1
Li6 0.7378 0.7378 0.2900 1
```

=====

Question: total DFT energy (no corrections) of number 1 (RbLi3Pb)?
Answer: -1.43 eV/atom

=====

Question: Which value of total DFT energy (no corrections) does entry 1 give?
Answer: -1.43 eV/atom